[1]
LiTe2SeN at its PBEsol-relaxed geometry, computed with meta-GGA SCAN.

The calculation puts the calculated volume at 18.23 Å³ per atom. The value obtained for the density of states at the Fermi level is 3.4 states/eV/cell. As for the formation energy without anion corrections: 0.862 eV per atom.

It has space group P4/mmm (No. 123), with a = 5.076 Å, b = 5.076 Å, c = 3.537 Å, α = 90.00°, β = 90.00° and γ = 90.00°. The asymmetric unit holds Li at (0.000, 0.000, 0.000), Te at (0.000, 0.500, 0.000), Se at (0.500, 0.500, 0.500) and N at (0.000, 0.000, 0.500).

---

[2]
LiTeSe2N at its PBEsol-relaxed geometry, computed with meta-GGA SCAN.

The calculation puts the calculated volume at 17.69 Å³ per atom. The value obtained for the density of states at the Fermi level is 2.5 states/eV/cell. As for the formation energy without anion corrections: 0.720 eV per atom.

It has space group P4/mmm (No. 123), with a = 4.861 Å, b = 4.861 Å, c = 3.744 Å, α = 90.00°, β = 90.00° and γ = 90.00°. The asymmetric unit holds Li at (0.000, 0.000, 0.000), Te at (0.500, 0.500, 0.500), Se at (0.000, 0.500, 0.000) and N at (0.000, 0.000, 0.500).

---

[3]
LiTlSe2N at its PBEsol-relaxed geometry, computed with meta-GGA SCAN.

The calculation puts the calculated volume at 18.77 Å³ per atom. The value obtained for the density of states at the Fermi level is 3.1 states/eV/cell. As for the formation energy without anion corrections: 0.637 eV per atom.

It has space group P4/mmm (No. 123), with a = 4.889 Å, b = 4.889 Å, c = 3.925 Å, α = 90.00°, β = 90.00° and γ = 90.00°. The asymmetric unit holds Li at (0.000, 0.000, 0.000), Tl at (0.500, 0.500, 0.500), Se at (0.000, 0.500, 0.000) and N at (0.000, 0.000, 0.500).

---

[4]
LiZrSe2N at its PBEsol-relaxed geometry, computed with meta-GGA SCAN.

The calculation puts the calculated volume at 22.83 Å³ per atom. The value obtained for the density of states at the Fermi level is 1.5 states/eV/cell. As for the formation energy without anion corrections: -0.587 eV per atom.

It has space group P4/mmm (No. 123), with a = 5.248 Å, b = 5.248 Å, c = 4.144 Å, α = 90.00°, β = 90.00° and γ = 90.00°. The asymmetric unit holds Li at (0.000, 0.000, 0.000), Zr at (0.500, 0.500, 0.500), Se at (0.000, 0.500, 0.500) and N at (0.500, 0.500, 0.000).

---

[5]
Li2SiN at its PBEsol-relaxed geometry, computed with meta-GGA SCAN.

The calculation puts the calculated volume at 12.53 Å³ per atom. The value obtained for the density of states at the Fermi level is 3.9 states/eV/cell. As for the formation energy without anion corrections: -0.144 eV per atom.

It has space group I-42d (No. 122), with a = 7.456 Å, b = 7.456 Å, c = 3.606 Å, α = 90.00°, β = 90.00° and γ = 90.00°. The asymmetric unit holds Li at (0.112, 0.250, 0.125), Si at (0.000, 0.000, 0.500) and N at (0.000, 0.000, 0.000).

---

[6]
LiZnSi2N at its PBEsol-relaxed geometry, computed with meta-GGA SCAN.

The calculation puts the calculated volume at 13.78 Å³ per atom. The value obtained for the density of states at the Fermi level is 1.9 states/eV/cell. As for the formation energy without anion corrections: 1.223 eV per atom.

It has space group P4/mmm (No. 123), with a = 4.522 Å, b = 4.522 Å, c = 3.370 Å, α = 90.00°, β = 90.00° and γ = 90.00°. The asymmetric unit holds Li at (0.000, 0.000, 0.000), Zn at (0.500, 0.500, 0.500), Si at (0.000, 0.500, 0.000) and N at (0.000, 0.000, 0.500).

---

[7]
Li3SnN at its PBEsol-relaxed geometry, computed with meta-GGA SCAN.

The calculation puts the calculated volume at 13.30 Å³ per atom. The value obtained for the density of states at the Fermi level is 2.1 states/eV/cell. As for the relative energy among the computed polymorphs: 0 meV/atom. As for the formation energy without anion corrections: -0.150 eV per atom.

It has space group Pm-3m (No. 221), with a = 4.052 Å, b = 4.052 Å, c = 4.052 Å, α = 90.00°, β = 90.00° and γ = 90.00°. The asymmetric unit holds Li at (0.000, 0.000, 0.500), Sn at (0.500, 0.500, 0.500) and N at (0.000, 0.000, 0.000).

---

[8]
Li3SnN at its PBEsol-relaxed geometry, computed with meta-GGA SCAN.

The calculation puts the calculated volume at 29.37 Å³ per atom. The value obtained for the density of states at the Fermi level is 1.6 states/eV/cell. As for the relative energy among the computed polymorphs: 1073 meV/atom. As for the formation energy without anion corrections: 0.922 eV per atom.

It has space group Pm-3m (No. 221), with a = 5.276 Å, b = 5.276 Å, c = 5.276 Å, α = 90.00°, β = 90.00° and γ = 90.00°. The asymmetric unit holds Li at (0.000, 0.000, 0.500), Sn at (0.000, 0.000, 0.000) and N at (0.500, 0.500, 0.500).

---

[9]
Li2SnN at its PBEsol-relaxed geometry, computed with meta-GGA SCAN.

The calculation puts the calculated volume at 13.62 Å³ per atom. The value obtained for the density of states at the Fermi level is 4.0 states/eV/cell. As for the formation energy without anion corrections: 0.481 eV per atom.

It has space group Fm-3m (No. 225), with a = 6.018 Å, b = 6.018 Å, c = 6.018 Å, α = 90.00°, β = 90.00° and γ = 90.00°. The asymmetric unit holds Li at (0.250, 0.250, 0.250), Sn at (0.000, 0.000, 0.000) and N at (0.000, 0.000, 0.500).

---

[10]
SrLi2N2 at its PBEsol-relaxed geometry, computed with meta-GGA SCAN.

The calculation puts the calculated volume at 10.45 Å³ per atom. The value obtained for the density of states at the Fermi level is 0.0 states/eV/cell. As for the formation energy without anion corrections: -0.359 eV per atom.

It has space group I4/mmm (No. 139), with a = 3.588 Å, b = 3.588 Å, c = 8.118 Å, α = 90.00°, β = 90.00° and γ = 90.00°. The asymmetric unit holds Sr at (0.000, 0.000, 0.000), Li at (0.000, 0.500, 0.250) and N at (0.000, 0.000, 0.399).

---

[11]
SrLiN2 at its PBEsol-relaxed geometry, computed with meta-GGA SCAN.

The calculation puts the calculated volume at 12.46 Å³ per atom. The value obtained for the density of states at the Fermi level is 10.2 states/eV/cell. As for the relative energy among the computed polymorphs: 0 meV/atom. As for the formation energy without anion corrections: 0.072 eV per atom.

It has space group I4_1/amd (No. 141, origin choice 2), with a = 3.938 Å, b = 3.938 Å, c = 12.849 Å, α = 90.00°, β = 90.00° and γ = 90.00°. The asymmetric unit holds Sr at (0.000, 0.250, 0.375), Li at (0.000, 0.250, 0.875) and N at (0.000, 0.000, 0.000).

---

[12]
SrLi3N at its PBEsol-relaxed geometry, computed with meta-GGA SCAN.

The calculation puts the calculated volume at 56.11 Å³ per atom. The value obtained for the density of states at the Fermi level is 4.8 states/eV/cell. As for the formation energy without anion corrections: 1.725 eV per atom.

It has space group Pm-3m (No. 221), with a = 6.546 Å, b = 6.546 Å, c = 6.546 Å, α = 90.00°, β = 90.00° and γ = 90.00°. The asymmetric unit holds Sr at (0.000, 0.000, 0.000), Li at (0.000, 0.000, 0.500) and N at (0.500, 0.500, 0.500).